# 1
The following is a SCAN calculation of LiTa2Be at its PBEsol-relaxed geometry, from the Alexandria database.

Output
Final energy in eV/atom: -34.558
Volume in Å³/f.u.: 59.7
Total magnetization in μB per atom: 0.000
DFT formation energy in meV per atom: 419
Space group: No. 12

```
data_LiTa2Be
_chemical_formula_sum 'Li1 Ta2 Be1'
_symmetry_space_group_name_H-M 'P 1'
_symmetry_Int_Tables_number 1
_cell_length_a 5.227
_cell_length_b 5.227
_cell_length_c 2.639
_cell_angle_alpha 98.88
_cell_angle_beta 98.88
_cell_angle_gamma 119.49
loop_
_symmetry_equiv_pos_as_xyz
'x,y,z'
loop_
_atom_site_label
_atom_site_type_symbol
_atom_site_fract_x
_atom_site_fract_y
_atom_site_fract_z
Li1 Li 0.000 0.000 0.000
Ta1 Ta 0.000 0.500 0.500
Ta2 Ta 0.500 0.000 0.500
Be1 Be 0.500 0.500 0.000
```


# 2
The following is a SCAN calculation of Li2BeTc at its PBEsol-relaxed geometry, from the Alexandria database.

Output
Final energy in eV/atom: -10.874
Distance to the lowest polymorph of the same formula in meV/atom: 0.0
Volume in Å³/f.u.: 48.9
Total magnetization in μB per atom: 0.020
DFT formation energy in meV per atom: 175
Space group: No. 8

```
data_Li2BeTc
_chemical_formula_sum 'Li2 Be1 Tc1'
_symmetry_space_group_name_H-M 'P 1'
_symmetry_Int_Tables_number 1
_cell_length_a 4.619
_cell_length_b 4.619
_cell_length_c 4.827
_cell_angle_alpha 106.74
_cell_angle_beta 106.74
_cell_angle_gamma 29.87
loop_
_symmetry_equiv_pos_as_xyz
'x,y,z'
loop_
_atom_site_label
_atom_site_type_symbol
_atom_site_fract_x
_atom_site_fract_y
_atom_site_fract_z
Li1 Li 0.000 0.000 0.000
Li2 Li 0.237 0.237 0.871
Be1 Be 0.707 0.707 0.389
Tc1 Tc 0.448 0.448 0.470
```


# 3
The following is a SCAN calculation of Li2BeTc at its PBEsol-relaxed geometry, from the Alexandria database.

Output
Final energy in eV/atom: -10.771
Distance to the lowest polymorph of the same formula in meV/atom: 102.4
Volume in Å³/f.u.: 51.5
Total magnetization in μB per atom: 0.024
DFT formation energy in meV per atom: 277
Space group: No. 166

```
data_Li2BeTc
_chemical_formula_sum 'Li2 Be1 Tc1'
_symmetry_space_group_name_H-M 'P 1'
_symmetry_Int_Tables_number 1
_cell_length_a 9.204
_cell_length_b 9.204
_cell_length_c 9.204
_cell_angle_alpha 15.97
_cell_angle_beta 15.97
_cell_angle_gamma 15.97
loop_
_symmetry_equiv_pos_as_xyz
'x,y,z'
loop_
_atom_site_label
_atom_site_type_symbol
_atom_site_fract_x
_atom_site_fract_y
_atom_site_fract_z
Li1 Li 0.248 0.248 0.248
Li2 Li 0.752 0.752 0.752
Be1 Be 0.500 0.500 0.500
Tc1 Tc 0.000 0.000 0.000
```


# 4
The following is a SCAN calculation of Li2BeTc at its PBEsol-relaxed geometry, from the Alexandria database.

Output
Final energy in eV/atom: -10.759
Distance to the lowest polymorph of the same formula in meV/atom: 114.4
Volume in Å³/f.u.: 49.0
Total magnetization in μB per atom: 0.044
DFT formation energy in meV per atom: 289
Space group: No. 44

```
data_Li2BeTc
_chemical_formula_sum 'Li2 Be1 Tc1'
_symmetry_space_group_name_H-M 'P 1'
_symmetry_Int_Tables_number 1
_cell_length_a 5.135
_cell_length_b 5.135
_cell_length_c 5.135
_cell_angle_alpha 152.80
_cell_angle_beta 127.16
_cell_angle_gamma 60.43
loop_
_symmetry_equiv_pos_as_xyz
'x,y,z'
loop_
_atom_site_label
_atom_site_type_symbol
_atom_site_fract_x
_atom_site_fract_y
_atom_site_fract_z
Li1 Li 0.000 0.000 0.000
Li2 Li 0.746 0.246 0.500
Be1 Be 0.511 0.511 0.000
Tc1 Tc 0.284 0.784 0.500
```


# 5
The following is a SCAN calculation of LiBeTc2 at its PBEsol-relaxed geometry, from the Alexandria database.

Output
Final energy in eV/atom: -19.114
Volume in Å³/f.u.: 50.3
Total magnetization in μB per atom: 0.000
DFT formation energy in meV per atom: 102
Space group: No. 65

```
data_LiBeTc2
_chemical_formula_sum 'Li1 Be1 Tc2'
_symmetry_space_group_name_H-M 'P 1'
_symmetry_Int_Tables_number 1
_cell_length_a 2.500
_cell_length_b 2.500
_cell_length_c 8.232
_cell_angle_alpha 90.00
_cell_angle_beta 90.00
_cell_angle_gamma 102.12
loop_
_symmetry_equiv_pos_as_xyz
'x,y,z'
loop_
_atom_site_label
_atom_site_type_symbol
_atom_site_fract_x
_atom_site_fract_y
_atom_site_fract_z
Li1 Li 0.000 0.000 0.000
Be1 Be 0.000 0.000 0.500
Tc1 Tc 0.500 0.500 0.277
Tc2 Tc 0.500 0.500 0.723
```


# 6
The following is a SCAN calculation of Li2BeTc at its PBEsol-relaxed geometry, from the Alexandria database.

Output
Final energy in eV/atom: -10.855
Distance to the lowest polymorph of the same formula in meV/atom: 18.6
Volume in Å³/f.u.: 53.8
Total magnetization in μB per atom: 0.019
DFT formation energy in meV per atom: 193
Space group: No. 160

```
data_Li2BeTc
_chemical_formula_sum 'Li2 Be1 Tc1'
_symmetry_space_group_name_H-M 'P 1'
_symmetry_Int_Tables_number 1
_cell_length_a 9.198
_cell_length_b 9.198
_cell_length_c 9.198
_cell_angle_alpha 16.35
_cell_angle_beta 16.35
_cell_angle_gamma 16.35
loop_
_symmetry_equiv_pos_as_xyz
'x,y,z'
loop_
_atom_site_label
_atom_site_type_symbol
_atom_site_fract_x
_atom_site_fract_y
_atom_site_fract_z
Li1 Li 0.000 0.000 0.000
Li2 Li 0.238 0.238 0.238
Be1 Be 0.490 0.490 0.490
Tc1 Tc 0.752 0.752 0.752
```